Record 1
# KAcBr3 (PBE, optimized geometry)
# E_tot: -3.588 eV per atom
# ΔE_f (raw): -1543 meV per atom
data_KAcBr3
_symmetry_space_group_name_H-M 'P m -3 m'
_symmetry_Int_Tables_number 221
_symmetry_space_group_name_Hall '-P 4 2 3'
_cell_length_a 6.118
_cell_length_b 6.118
_cell_length_c 6.118
_cell_angle_alpha 90.00
_cell_angle_beta 90.00
_cell_angle_gamma 90.00
loop_
_atom_site_label
_atom_site_fract_x
_atom_site_fract_y
_atom_site_fract_z
K1 0.000 0.000 0.000
Ac1 0.500 0.500 0.500
Br1 0.000 0.500 0.500



Record 2
# Rb3UN3 (PBE, optimized geometry)
# E_tot: -6.030 eV per atom
# ΔE_f (raw): -434 meV per atom
data_Rb3UN3
_symmetry_space_group_name_H-M 'P 1 21/m 1'
_symmetry_Int_Tables_number 11
_cell_length_a 8.087
_cell_length_b 3.746
_cell_length_c 12.910
_cell_angle_alpha 90.00
_cell_angle_beta 91.17
_cell_angle_gamma 90.00
loop_
_symmetry_equiv_pos_as_xyz
'x,y,z'
'-x,-y,-z'
'-x,y+1/2,-z'
'x,-y+1/2,z'
loop_
_atom_site_label
_atom_site_fract_x
_atom_site_fract_y
_atom_site_fract_z
Rb1 0.119 0.250 0.104
Rb2 0.183 0.250 0.677
Rb3 0.370 0.750 0.314
U1 0.384 0.750 0.907
N1 0.227 0.250 0.901
N2 0.416 0.750 0.064
N3 0.416 0.750 0.758



For each record above, in turn, the calculated DOS(E_F) values are 0.695, 0.436 states/eV/atom.